{
  "formula": "HoVAs2O8",
  "functional": "PBE+U",
  "state": "optimized geometry",
  "final_energy_ev_per_atom": -6.96,
  "lattice": [[5.826, 0.031, 0.000], [-2.556, 5.235, 0.000], [-1.635, -2.633, 4.933]],
  "species": ["O", "O", "O", "O", "O", "Ho", "O", "As", "V", "As", "O", "O"],
  "frac_coords": [[0.930, 0.618, 0.689], [0.510, 0.690, 0.821], [0.382, 0.070, 0.311], [0.310, 0.490, 0.179], [0.930, 0.241, 0.311], [0.250, 0.750, 0.500], [0.869, 0.690, 0.179], [0.500, 0.500, 0.000], [0.000, 0.000, 0.000], [0.750, 0.250, 0.500], [0.310, 0.131, 0.821], [0.759, 0.070, 0.689]]
}